Entry 1:
The following is a DFT calculation (PBE) of an optimized crystal structure of La2HOs.

It has space group R-3m (No. 166, hexagonal axes), with a = 4.1937 Å, b = 4.1937 Å, c = 18.2310 Å, α = 90.00°, β = 90.00° and γ = 120.00°. Symmetry generates all atoms from La at (0.0000, 0.0000, 0.2504), H at (0.0000, 0.0000, 0.0000) and Os at (0.0000, 0.0000, 0.5000).

The value obtained for the calculated volume is 23.1 Å³ per atom. Its energy above the lowest structure with this stoichiometry is 0.000 eV per atom.



Entry 2:
The following is a DFT calculation (PBE) of an optimized crystal structure of Nb3AlSi.

It has space group Pm-3m (No. 221), with a = 4.6610 Å, b = 4.6610 Å, c = 4.6610 Å, α = 90.00°, β = 90.00° and γ = 90.00°. Symmetry generates all atoms from Nb at (0.0000, 0.0000, 0.5000), Al at (0.5000, 0.5000, 0.5000) and Si at (0.0000, 0.0000, 0.0000).

The formation energy from raw total energies comes out at 269 kJ/mol of formula units. The value obtained for the calculated volume is 20.3 Å³ per atom. Its energy above the lowest structure with this stoichiometry is 0.000 eV per atom.



Number 1: E -6.27 eV per atom. Number 2: E -7.32 eV per atom.